Computed, not measured: a geometry-optimized CaCuP4Ru2O14 structure at the PBE level of DFT.

Properties
* total magnetization: 1.072 μB/f.u.
* calculated volume: 12.7 Å³ per atom
* space-group type: P1, No. 1
* ΔE_f (raw): -3693.1 kJ/mol of formula units
* energy relative to the lowest polymorph listed for this composition: 0.48 eV/f.u.

The structure in extended XYZ format:
```
22
Lattice="5.006 0.000 0.000 -1.875 6.382 0.000 -0.167 -0.631 8.720" Properties=species:S:1:pos:R:3 pbc="T T T"
Ca 0.000 0.000 0.000
Cu 1.983 2.501 3.874
P -0.399 4.003 1.306
P 1.130 4.641 5.799
P 2.784 0.364 1.864
P 4.325 0.987 6.226
Ru -1.461 5.654 3.816
Ru 1.904 2.194 8.112
O -0.253 0.997 4.766
O -0.816 3.941 2.770
O 0.476 0.961 7.261
O -0.206 5.199 5.366
O 0.721 3.032 0.983
O 0.141 5.568 1.030
O 1.839 0.756 3.017
O 0.967 3.599 6.886
O 3.025 1.371 0.731
O 2.108 4.272 4.625
O 1.903 5.849 6.604
O 3.194 1.960 6.500
O 2.278 6.175 2.228
O 3.451 4.104 0.276
```